This record from Alexandria via LeMat-Bulk describes CePuMnAu after structural relaxation. The functional is PBE-GGA.

Values from the calculation:
N(E_F) = 2.21 states/eV/atom
E = -8.212 eV per atom
Mass density = 12.964 g/cm³
Energy of formation from the pure elements = -0.03 eV/atom

Cell: 6.881 6.881 6.881 Å, 90.00 90.00 90.00°
Space group F-43m (No. 216)
Symmetry-distinct sites (fractional):
Ce: 0.000 0.000 0.000
Pu: 0.250 0.250 0.250
Mn: 0.000 0.000 0.500
Au: 0.250 0.250 0.750

---

This record from Alexandria via LeMat-Bulk describes FeOsN3 after structural relaxation. The functional is PBE-GGA.

Values from the calculation:
N(E_F) = 0.81 states/eV/atom
E = -7.695 eV per atom
Mass density = 8.491 g/cm³
E_form (uncorrected) = 6.192 eV/f.u.

Cell: 3.834 3.834 3.834 Å, 90.00 90.00 90.00°
Space group Pm-3m (No. 221)
Symmetry-distinct sites (fractional):
Fe: 0.000 0.000 0.000
Os: 0.500 0.500 0.500
N: 0.000 0.500 0.500

---

This record from Alexandria via LeMat-Bulk describes Sr2Hf2Al after structural relaxation. The functional is PBE-GGA.

Values from the calculation:
N(E_F) = 0.94 states/eV/atom
E = -4.491 eV per atom
Mass density = 5.831 g/cm³
Energy of formation from the pure elements = 0.91 eV/atom
Offset from the most stable computed form = 0.396 eV/atom

Cell: 9.697 9.697 3.387 Å, 90.00 90.00 90.00°
Space group P4/mbm (No. 127)
Symmetry-distinct sites (fractional):
Sr: 0.193 0.307 0.000
Hf: 0.100 0.600 0.500
Al: 0.000 0.000 0.000

---

This record from Alexandria via LeMat-Bulk describes ErAgSe2 after structural relaxation. The functional is PBE-GGA.

Values from the calculation:
E = -4.661 eV per atom
Mass density = 7.482 g/cm³
E_form (uncorrected) = -4.261 eV/f.u.

Cell: 3.9896 3.9896 20.9180 Å, 90.00 90.00 120.00°
Space group R3m (No. 160, hexagonal axes)
Symmetry-distinct sites (fractional):
Er: 0.0000 0.0000 0.0000
Ag: 0.0000 0.0000 0.8341
Se: 0.0000 0.0000 0.2511
Se: 0.0000 0.0000 0.4166